The following is a PBE calculation of a relaxed La2Er4In crystal, from Alexandria via LeMat-Bulk.

Values from the calculation:
E_form in meV/atom: -34
Size of the total moment in μB per cell: 0.00
D(E_F) in states/eV per cell: 15.26
Calculated volume in Å³/atom: 30.6
Space-group type: P2_1/m, No. 11

Unit cell a=5.615 b=6.569 c=11.945 alpha=90.00 beta=103.62 gamma=90.00
Positions (direct):
Er 0.055 0.250 0.109
Er 0.945 0.750 0.891
Er 0.639 0.498 0.279
Er 0.639 0.002 0.279
Er 0.361 0.998 0.721
Er 0.227 0.750 0.455
Er 0.361 0.502 0.721
Er 0.773 0.250 0.545
La 0.805 0.750 0.611
La 0.486 0.250 0.973
La 0.514 0.750 0.027
La 0.195 0.250 0.389
In 0.907 0.250 0.815
In 0.093 0.750 0.185